# 1
{"formula": "MgReW2", "functional": "PBE", "state": "optimized geometry", "cell": [[-3.091, 0.042, 0.590], [0.206, -2.866, 1.283], [1.169, 2.740, 5.933]], "species": ["W", "Mg", "Re", "W"], "frac_coords": [[0.000, 0.000, 0.990], [0.000, 0.000, 0.508], [0.500, 0.500, 0.770], [0.500, 0.500, 0.232]], "ef_mev_per_atom": 397, "dft_energy_ev_per_fu": -38.36, "total_magnetization_mub_per_fu": 0.0, "space_group": "P4mm", "dos_ef_per_ev_fu": 5.08}


# 2
{"formula": "MgReW4", "functional": "PBE", "state": "optimized geometry", "cell": [[-2.535, 1.041, 4.483], [0.861, 4.533, 2.514], [-3.735, 3.694, 0.110]], "species": ["W", "W", "W", "W", "Mg", "Re"], "frac_coords": [[0.375, 0.375, 0.375], [0.375, 0.375, 0.874], [0.375, 0.874, 0.375], [0.874, 0.375, 0.375], [0.750, 0.750, 0.750], [0.000, 0.000, 0.000]], "ef_mev_per_atom": 433, "dft_energy_ev_per_fu": -63.26, "total_magnetization_mub_per_fu": 0.0, "space_group": "F-43m", "dos_ef_per_ev_fu": 4.02}


# 3
{"formula": "MgReW2", "functional": "PBE", "state": "optimized geometry", "cell": [[4.050, 0.000, 0.000], [0.000, 3.979, 0.000], [0.000, 0.000, 3.979]], "species": ["Re", "W", "Mg", "W"], "frac_coords": [[0.500, 0.000, 0.500], [0.000, 0.000, 0.000], [0.500, 0.500, 0.000], [0.000, 0.500, 0.500]], "ef_mev_per_atom": 481, "dft_energy_ev_per_fu": -38.03, "total_magnetization_mub_per_fu": 0.0, "space_group": "P4/mmm", "dos_ef_per_ev_fu": 2.31}


# 4
{"formula": "MgReW2", "functional": "PBE", "state": "optimized geometry", "cell": [[-0.369, -4.405, -1.950], [2.233, -3.764, -2.047], [0.757, -2.382, 4.576]], "species": ["W", "W", "Re", "Mg"], "frac_coords": [[0.750, 0.750, 0.744], [0.000, 0.000, 0.002], [0.249, 0.249, 0.255], [0.500, 0.500, 0.499]], "ef_mev_per_atom": 433, "dft_energy_ev_per_fu": -38.22, "total_magnetization_mub_per_fu": 0.0, "space_group": "Cm", "dos_ef_per_ev_fu": 3.73}


# 5
{"formula": "MgReW2", "functional": "PBE", "state": "optimized geometry", "cell": [[-2.341, 1.387, -0.652], [-1.414, -1.496, 1.895], [1.789, 5.796, 5.911]], "species": ["W", "Re", "Mg", "W"], "frac_coords": [[0.000, 0.000, 0.989], [0.500, 0.500, 0.763], [0.000, 0.000, 0.509], [0.500, 0.500, 0.238]], "ef_mev_per_atom": 480, "dft_energy_ev_per_fu": -38.03, "total_magnetization_mub_per_fu": 0.0, "space_group": "P4mm", "dos_ef_per_ev_fu": 5.72}


# 6
{"formula": "MgReW2", "functional": "PBE", "state": "optimized geometry", "cell": [[2.656, 0.000, 0.000], [0.000, 4.415, 0.000], [0.000, 0.000, 5.512]], "species": ["Mg", "Re", "W", "W"], "frac_coords": [[0.000, 0.000, 0.502], [0.500, 0.500, 0.742], [0.500, 0.500, 0.257], [0.000, 0.000, 0.999]], "ef_mev_per_atom": 417, "dft_energy_ev_per_fu": -38.28, "total_magnetization_mub_per_fu": 0.0, "space_group": "Pmm2", "dos_ef_per_ev_fu": 2.62}


# 7
{"formula": "MgReW2", "functional": "PBE", "state": "optimized geometry", "cell": [[3.260, 0.000, 0.000], [0.000, 4.406, 0.000], [0.000, 0.000, 4.434]], "species": ["Mg", "W", "W", "Re"], "frac_coords": [[0.500, 0.000, 0.500], [0.500, 0.500, 0.000], [0.000, 0.000, 0.000], [0.000, 0.500, 0.500]], "ef_mev_per_atom": 433, "dft_energy_ev_per_fu": -38.22, "total_magnetization_mub_per_fu": 0.0, "space_group": "Pmmm", "dos_ef_per_ev_fu": 4.16}


# 8
{"formula": "MgReW2", "functional": "PBE", "state": "optimized geometry", "cell": [[-0.707, 0.176, 2.647], [1.924, -1.935, -0.306], [6.545, 6.299, 1.329]], "species": ["W", "W", "Re", "Mg"], "frac_coords": [[0.000, 0.000, 0.997], [0.500, 0.500, 0.240], [0.500, 0.500, 0.759], [0.000, 0.000, 0.504]], "ef_mev_per_atom": 204, "dft_energy_ev_per_fu": -39.13, "total_magnetization_mub_per_fu": 0.0, "space_group": "Cmm2", "dos_ef_per_ev_fu": 2.16}